Below is a relaxed structure of Tm2ScAl, with properties calculated at the PBE level.

Calculated values
Total energy, eV per atom: -4.96
Calculated formation energy, eV/f.u.: -0.82
Symmetry: P4/mmm, No. 123

a b c (Å): 4.5395 4.6344 4.6344
angles (deg): 90.00 90.00 90.00
Sites, in units of the cell vectors:
Sc 0.5000 0.0000 0.0000
Tm 0.0000 0.0000 0.5000
Tm 0.0000 0.5000 0.0000
Al 0.5000 0.5000 0.5000

=====

Below is a relaxed structure of TmSc9Al2, with properties calculated at the PBE level.

Calculated values
Total energy, eV per atom: -5.88
Calculated formation energy, eV/f.u.: -1.57
Symmetry: P4/mmm, No. 123

a b c (Å): 4.4742 4.4742 13.7752
angles (deg): 90.00 90.00 90.00
Sites, in units of the cell vectors:
Tm 0.0000 0.0000 0.0000
Sc 0.5000 0.5000 0.0000
Sc 0.5000 0.5000 0.3426
Sc 0.5000 0.5000 0.6574
Sc 0.5000 0.0000 0.1803
Sc 0.5000 0.0000 0.5000
Sc 0.5000 0.0000 0.8197
Sc 0.0000 0.5000 0.1803
Sc 0.0000 0.5000 0.5000
Sc 0.0000 0.5000 0.8197
Al 0.0000 0.0000 0.3400
Al 0.0000 0.0000 0.6600

=====

Below is a relaxed structure of TmSc5Al2, with properties calculated at the PBE level.

Calculated values
Total energy, eV per atom: -5.62
Calculated formation energy, eV/f.u.: -1.32
Symmetry: Immm, No. 71

a b c (Å): 3.3163 7.7414 7.7414
angles (deg): 76.49 77.63 77.63
Sites, in units of the cell vectors:
Tm 0.0000 0.0000 0.0000
Sc 0.0000 0.5000 0.5000
Sc 0.6355 0.5887 0.1403
Sc 0.3645 0.4113 0.8597
Sc 0.3645 0.8597 0.4113
Sc 0.6355 0.1403 0.5887
Al 0.7430 0.7570 0.7570
Al 0.2570 0.2430 0.2430

=====

Below is a relaxed structure of Tm2Sc8Al, with properties calculated at the PBE level.

Calculated values
Total energy, eV per atom: -5.63
Calculated formation energy, eV/f.u.: 1.43
Symmetry: C2/m, No. 12

a b c (Å): 5.2399 8.1792 8.5160
angles (deg): 61.30 75.69 59.02
Sites, in units of the cell vectors:
Tm 0.0000 0.3031 0.3938
Tm 0.0000 0.6969 0.6062
Sc 0.8277 0.1027 0.2255
Sc 0.8277 0.3282 0.7745
Sc 0.3011 0.4073 0.0000
Sc 0.5000 0.8028 0.3943
Sc 0.5000 0.1972 0.6057
Sc 0.6989 0.5927 0.0000
Sc 0.1723 0.6718 0.2255
Sc 0.1723 0.8973 0.7745
Al 0.5000 0.0000 0.0000

=====

Below is a relaxed structure of Tm2ScAl2, with properties calculated at the PBE level.

Calculated values
Total energy, eV per atom: -4.86
Calculated formation energy, eV/f.u.: -1.56
Symmetry: Immm, No. 71

a b c (Å): 4.5357 5.7667 5.7667
angles (deg): 65.34 66.84 66.84
Sites, in units of the cell vectors:
Tm 0.1980 0.3020 0.3020
Tm 0.8020 0.6980 0.6980
Sc 0.0000 0.0000 0.0000
Al 0.5000 0.2884 0.7116
Al 0.5000 0.7116 0.2884

=====

Below is a relaxed structure of Tm2ScAl, with properties calculated at the PBE level.

Calculated values
Total energy, eV per atom: -4.82
Calculated formation energy, eV/f.u.: -0.27
Symmetry: R3m, No. 160

a b c (Å): 3.4470 3.4470 10.2995
angles (deg): 80.37 80.37 60.00
Sites, in units of the cell vectors:
Tm 0.0764 0.0764 0.7709
Tm 0.2569 0.2569 0.2292
Sc 0.5003 0.5003 0.4992
Al 0.6664 0.6664 0.0007

=====

Below is a relaxed structure of Tm5Sc4Al, with properties calculated at the PBE level.

Calculated values
Total energy, eV per atom: -5.19
Calculated formation energy, eV/f.u.: -0.43
Symmetry: P4/mmm, No. 123

a b c (Å): 3.4072 3.4072 22.7381
angles (deg): 90.00 90.00 90.00
Sites, in units of the cell vectors:
Tm 0.5000 0.5000 0.0855
Tm 0.5000 0.5000 0.2930
Tm 0.5000 0.5000 0.5000
Tm 0.5000 0.5000 0.7070
Tm 0.5000 0.5000 0.9145
Sc 0.0000 0.0000 0.1903
Sc 0.0000 0.0000 0.3966
Sc 0.0000 0.0000 0.6034
Sc 0.0000 0.0000 0.8097
Al 0.0000 0.0000 0.0000

=====

Below is a relaxed structure of TmScAlV, with properties calculated at the PBE level.

Calculated values
Total energy, eV per atom: -6.00
Calculated formation energy, eV/f.u.: -0.33
Symmetry: F-43m, No. 216

a b c (Å): 4.9034 4.9034 4.9034
angles (deg): 60.00 60.00 60.00
Sites, in units of the cell vectors:
Sc 0.0000 0.0000 0.0000
Tm 0.5000 0.5000 0.5000
Al 0.2500 0.2500 0.2500
V 0.7500 0.7500 0.7500